Below is crystalline YCo6Sn6 at its relaxed geometry, with properties calculated at the PBE level.

Crystal system   orthorhombic
VASP energy   -75.21 eV/f.u.
SG   Immm
Theoretical density   8.9 g/cm³

Lattice parameters (Å, degrees): 6.8802 6.8802 6.8802 133.90 102.81 94.87
Atoms (fractional coordinates):
Y (0.0000, 0.0000, 0.0000)
Co (0.0000, 0.0000, 0.5000)
Co (0.0000, 0.5000, 0.0000)
Co (0.2483, 0.5000, 0.7483)
Co (0.5000, 0.0000, 0.0000)
Co (0.5000, 0.5000, 0.5000)
Co (0.7517, 0.5000, 0.2517)
Sn (0.1695, 0.6695, 0.5000)
Sn (0.3349, 0.0000, 0.3349)
Sn (0.3366, 0.3366, 0.0000)
Sn (0.6634, 0.6634, 0.0000)
Sn (0.6651, 0.0000, 0.6651)
Sn (0.8305, 0.3305, 0.5000)